No. 1
# Ba2Ca2La

Ba2Ca2La after structural relaxation (PBE, the Alexandria database).

Properties
Total moment (μB per formula unit): 1.92
SG: P4/mbm (127)
Total energy (eV for the cell shown): -22.9
D(E_F) (states/eV/cell): 13.10

abc: 10.6094 10.6094 4.3934
angles: 90.00 90.00 90.00
Last column: magnetic moment on the atom in μB.
Positions (direct):
Ca 0.3716 0.8716 0.0000  0.05
Ca 0.8716 0.6284 0.0000  0.05
Ca 0.6284 0.1284 0.0000  0.05
Ca 0.1284 0.3716 0.0000  0.05
Ba 0.1717 0.6717 0.5000  0.07
Ba 0.6717 0.8283 0.5000  0.07
Ba 0.8283 0.3283 0.5000  0.07
Ba 0.3283 0.1717 0.5000  0.07
La 0.0000 0.0000 0.0000  0.35
La 0.5000 0.5000 0.0000  0.35

No. 2
# BaCaLa2

BaCaLa2 after structural relaxation (PBE, the Alexandria database).

Properties
Total moment (μB per formula unit): 0.01
SG: C2/m (12)
D(E_F) (states/eV/cell): 6.87
Polymorph energy (0 for the lowest one) (meV/atom): 103

abc: 7.5675 7.5675 3.7448
angles: 78.93 78.93 120.23
Positions (direct):
Ca 0.0000 0.5000 0.5000
Ba 0.5000 0.0000 0.5000
La 0.0000 0.0000 0.0000
La 0.5000 0.5000 0.0000

- Which value of D(E_F) does entry 2 give?
  6.87 states/eV/cell